1.
# HoZnRh | the Alexandria database | meta-GGA SCAN | PBEsol geometry
# * energy of formation: -0.83 eV/atom
# * DOS(E_F): 4.74 states/eV per cell
data_HoZnRh
_space_group_name_H-M_alt 'P n m a'
_space_group_IT_number 62
_space_group_name_Hall '-P 2ac 2n'
_cell_length_a 6.8066
_cell_length_b 3.9288
_cell_length_c 7.9887
_cell_angle_alpha 90.00
_cell_angle_beta 90.00
_cell_angle_gamma 90.00
loop_
_atom_site_label
_atom_site_type_symbol
_atom_site_fract_x
_atom_site_fract_y
_atom_site_fract_z
Ho1 Ho 0.0413 0.2500 0.1835
Zn1 Zn 0.1340 0.2500 0.5633
Rh1 Rh 0.2472 0.7500 0.3756

2.
# La2MgCd | the Alexandria database | meta-GGA SCAN | PBEsol geometry
# * energy of formation: -0.27 eV/atom
# * DOS(E_F): 5.73 states/eV per cell
data_La2MgCd
_space_group_name_H-M_alt 'I m m 2'
_space_group_IT_number 44
_space_group_name_Hall 'I 2 -2'
_cell_length_a 3.8046
_cell_length_b 5.4807
_cell_length_c 10.8997
_cell_angle_alpha 90.00
_cell_angle_beta 90.00
_cell_angle_gamma 90.00
loop_
_atom_site_label
_atom_site_type_symbol
_atom_site_fract_x
_atom_site_fract_y
_atom_site_fract_z
La1 La 0.0000 0.0000 0.0000
La2 La 0.0000 0.5000 0.2310
Mg1 Mg 0.0000 0.5000 0.7734
Cd1 Cd 0.0000 0.0000 0.4724

3.
# K2SbAu | the Alexandria database | meta-GGA SCAN | PBEsol geometry
# * energy: -31.405 eV/atom
data_K2SbAu
_space_group_name_H-M_alt 'C m c m'
_space_group_IT_number 63
_space_group_name_Hall '-C 2c 2'
_cell_length_a 10.4130
_cell_length_b 7.8177
_cell_length_c 6.3807
_cell_angle_alpha 90.00
_cell_angle_beta 90.00
_cell_angle_gamma 90.00
loop_
_atom_site_label
_atom_site_type_symbol
_atom_site_fract_x
_atom_site_fract_y
_atom_site_fract_z
K1 K 0.1711 0.1668 0.2500
Sb1 Sb 0.0000 0.2297 0.7500
Au1 Au 0.0000 0.5000 0.0000

4.
# MoIBr2 | the Alexandria database | meta-GGA SCAN | PBEsol geometry
# * energy: -27.187 eV/atom
# * DOS(E_F): 13.43 states/eV per cell
data_MoIBr2
_space_group_name_H-M_alt 'R -3 m'
_space_group_IT_number 166
_space_group_name_Hall '-R 3 2"'
_cell_length_a 3.2029
_cell_length_b 3.2029
_cell_length_c 36.3714
_cell_angle_alpha 90.00
_cell_angle_beta 90.00
_cell_angle_gamma 120.00
loop_
_atom_site_label
_atom_site_type_symbol
_atom_site_fract_x
_atom_site_fract_y
_atom_site_fract_z
Mo1 Mo 0.0000 0.0000 0.0000
I1 I 0.0000 0.0000 0.5000
Br1 Br 0.0000 0.0000 0.0650

5.
# As2Cl | the Alexandria database | meta-GGA SCAN | PBEsol geometry
# * energy: -15.946 eV/atom
# * DOS(E_F): 5.07 states/eV per cell
data_As2Cl
_space_group_name_H-M_alt 'I 41/a m d'
_space_group_IT_number 141
_cell_length_a 3.4005
_cell_length_b 3.4005
_cell_length_c 22.3488
_cell_angle_alpha 90.00
_cell_angle_beta 90.00
_cell_angle_gamma 90.00
loop_
_space_group_symop_operation_xyz
'x,y,z'
'-x,-y,-z'
'-y+1/4,x+3/4,z+1/4'
'y+1/4,-x+3/4,-z+1/4'
'-x+1/2,-y,z+1/2'
'x+1/2,y,-z+1/2'
'y+1/4,-x+1/4,z+3/4'
'-y+1/4,x+1/4,-z+3/4'
'x,-y,-z'
'-x,y,z'
'-y+1/4,-x+1/4,-z+3/4'
'y+1/4,x+1/4,z+3/4'
'-x+1/2,y,-z+1/2'
'x+1/2,-y,z+1/2'
'y+1/4,x+3/4,-z+1/4'
'-y+1/4,-x+3/4,z+1/4'
'x+1/2,y+1/2,z+1/2'
'-x+1/2,-y+1/2,-z+1/2'
'-y+3/4,x+1/4,z+3/4'
'y+3/4,-x+1/4,-z+3/4'
'-x,-y+1/2,z'
'x,y+1/2,-z'
'y+3/4,-x+3/4,z+1/4'
'-y+3/4,x+3/4,-z+1/4'
'x+1/2,-y+1/2,-z+1/2'
'-x+1/2,y+1/2,z+1/2'
'-y+3/4,-x+3/4,-z+1/4'
'y+3/4,x+3/4,z+1/4'
'-x,y+1/2,-z'
'x,-y+1/2,z'
'y+3/4,x+1/4,-z+3/4'
'-y+3/4,-x+1/4,z+3/4'
loop_
_atom_site_label
_atom_site_type_symbol
_atom_site_fract_x
_atom_site_fract_y
_atom_site_fract_z
As1 As 0.0000 0.2500 0.2875
Cl1 Cl 0.0000 0.2500 0.8750

6.
# CaFeMo2 | the Alexandria database | meta-GGA SCAN | PBEsol geometry
# * energy of formation: 0.69 eV/atom
# * DOS(E_F): 6.83 states/eV per cell
data_CaFeMo2
_space_group_name_H-M_alt 'C 1 m 1'
_space_group_IT_number 8
_space_group_name_Hall 'C -2y'
_cell_length_a 9.1978
_cell_length_b 3.0578
_cell_length_c 5.4705
_cell_angle_alpha 90.00
_cell_angle_beta 107.56
_cell_angle_gamma 90.00
loop_
_atom_site_label
_atom_site_type_symbol
_atom_site_fract_x
_atom_site_fract_y
_atom_site_fract_z
Ca1 Ca 0.0000 0.0000 0.0000
Fe1 Fe 0.2317 0.0000 0.6601
Mo1 Mo 0.0186 0.5000 0.5209
Mo2 Mo 0.2954 0.5000 0.3629

7.
# YCd2Cl | the Alexandria database | meta-GGA SCAN | PBEsol geometry
# * energy: -24.793 eV/atom
# * DOS(E_F): 2.41 states/eV per cell
data_YCd2Cl
_space_group_name_H-M_alt 'P 1 2/m 1'
_space_group_IT_number 10
_space_group_name_Hall '-P 2y'
_cell_length_a 3.2543
_cell_length_b 6.2382
_cell_length_c 4.5888
_cell_angle_alpha 90.00
_cell_angle_beta 92.66
_cell_angle_gamma 90.00
loop_
_atom_site_label
_atom_site_type_symbol
_atom_site_fract_x
_atom_site_fract_y
_atom_site_fract_z
Y1 Y 0.0000 0.0000 0.0000
Cd1 Cd 0.2508 0.5000 0.7552
Cl1 Cl 0.5000 0.0000 0.5000

8.
# Y2FeCl | the Alexandria database | meta-GGA SCAN | PBEsol geometry
# * energy: -20.737 eV/atom
# * DOS(E_F): 7.46 states/eV per cell
data_Y2FeCl
_space_group_name_H-M_alt 'R 3 m'
_space_group_IT_number 160
_space_group_name_Hall 'R 3 -2"'
_cell_length_a 3.4399
_cell_length_b 3.4399
_cell_length_c 27.5538
_cell_angle_alpha 90.00
_cell_angle_beta 90.00
_cell_angle_gamma 120.00
loop_
_atom_site_label
_atom_site_type_symbol
_atom_site_fract_x
_atom_site_fract_y
_atom_site_fract_z
Y1 Y 0.0000 0.0000 0.0000
Y2 Y 0.0000 0.0000 0.2261
Fe1 Fe 0.0000 0.0000 0.4864
Cl1 Cl 0.0000 0.0000 0.7365

9.
# Ni2HgRhCl | the Alexandria database | meta-GGA SCAN | PBEsol geometry
# * energy: -27.564 eV/atom
# * DOS(E_F): 3.44 states/eV per cell
data_Ni2HgRhCl
_space_group_name_H-M_alt 'P 4/m m m'
_space_group_IT_number 123
_space_group_name_Hall '-P 4 2'
_cell_length_a 3.9923
_cell_length_b 3.9923
_cell_length_c 5.3679
_cell_angle_alpha 90.00
_cell_angle_beta 90.00
_cell_angle_gamma 90.00
loop_
_atom_site_label
_atom_site_type_symbol
_atom_site_fract_x
_atom_site_fract_y
_atom_site_fract_z
Ni1 Ni 0.0000 0.5000 0.0000
Hg1 Hg 0.0000 0.0000 0.5000
Rh1 Rh 0.5000 0.5000 0.5000
Cl1 Cl 0.0000 0.0000 0.0000

10.
# Y2AlNi | the Alexandria database | meta-GGA SCAN | PBEsol geometry
# * energy of formation: -0.39 eV/atom
# * DOS(E_F): 4.06 states/eV per cell
data_Y2AlNi
_space_group_name_H-M_alt 'P 1 m 1'
_space_group_IT_number 6
_space_group_name_Hall 'P -2y'
_cell_length_a 3.7011
_cell_length_b 4.3147
_cell_length_c 5.7604
_cell_angle_alpha 90.00
_cell_angle_beta 108.66
_cell_angle_gamma 90.00
loop_
_atom_site_label
_atom_site_type_symbol
_atom_site_fract_x
_atom_site_fract_y
_atom_site_fract_z
Y1 Y 0.0000 0.0000 0.0000
Y2 Y 0.2879 0.5000 0.5762
Al1 Al 0.5770 0.5000 0.1538
Ni1 Ni 0.7016 0.0000 0.4056

11.
# Ag2WCl | the Alexandria database | meta-GGA SCAN | PBEsol geometry
# * energy: -34.222 eV/atom
# * DOS(E_F): 2.19 states/eV per cell
data_Ag2WCl
_space_group_name_H-M_alt 'P m m m'
_space_group_IT_number 47
_space_group_name_Hall '-P 2 2'
_cell_length_a 2.8073
_cell_length_b 4.5737
_cell_length_c 5.1709
_cell_angle_alpha 90.00
_cell_angle_beta 90.00
_cell_angle_gamma 90.00
loop_
_atom_site_label
_atom_site_type_symbol
_atom_site_fract_x
_atom_site_fract_y
_atom_site_fract_z
Ag1 Ag 0.0000 0.0000 0.0000
Ag2 Ag 0.5000 0.5000 0.0000
W1 W 0.0000 0.5000 0.5000
Cl1 Cl 0.5000 0.0000 0.5000

12.
# AlHgP2Cl | the Alexandria database | meta-GGA SCAN | PBEsol geometry
# * energy: -19.995 eV/atom
# * DOS(E_F): 2.59 states/eV per cell
data_AlHgP2Cl
_space_group_name_H-M_alt 'P 4/m m m'
_space_group_IT_number 123
_space_group_name_Hall '-P 4 2'
_cell_length_a 4.8791
_cell_length_b 4.8791
_cell_length_c 5.5187
_cell_angle_alpha 90.00
_cell_angle_beta 90.00
_cell_angle_gamma 90.00
loop_
_atom_site_label
_atom_site_type_symbol
_atom_site_fract_x
_atom_site_fract_y
_atom_site_fract_z
Al1 Al 0.0000 0.0000 0.0000
Hg1 Hg 0.5000 0.5000 0.5000
P1 P 0.0000 0.5000 0.5000
Cl1 Cl 0.5000 0.5000 0.0000

13.
# AlRe3Pt | the Alexandria database | meta-GGA SCAN | PBEsol geometry
# * energy of formation: 2.38 eV/atom
# * DOS(E_F): 5.49 states/eV per cell
data_AlRe3Pt
_space_group_name_H-M_alt 'P m -3 m'
_space_group_IT_number 221
_space_group_name_Hall '-P 4 2 3'
_cell_length_a 4.6812
_cell_length_b 4.6812
_cell_length_c 4.6812
_cell_angle_alpha 90.00
_cell_angle_beta 90.00
_cell_angle_gamma 90.00
loop_
_atom_site_label
_atom_site_type_symbol
_atom_site_fract_x
_atom_site_fract_y
_atom_site_fract_z
Al1 Al 0.0000 0.0000 0.0000
Re1 Re 0.0000 0.5000 0.5000
Pt1 Pt 0.5000 0.5000 0.5000

14.
# AlHgP2Os | the Alexandria database | meta-GGA SCAN | PBEsol geometry
# * energy of formation: 0.41 eV/atom
# * DOS(E_F): 3.73 states/eV per cell
data_AlHgP2Os
_space_group_name_H-M_alt 'P 4/m m m'
_space_group_IT_number 123
_space_group_name_Hall '-P 4 2'
_cell_length_a 4.5270
_cell_length_b 4.5270
_cell_length_c 4.9361
_cell_angle_alpha 90.00
_cell_angle_beta 90.00
_cell_angle_gamma 90.00
loop_
_atom_site_label
_atom_site_type_symbol
_atom_site_fract_x
_atom_site_fract_y
_atom_site_fract_z
Al1 Al 0.0000 0.0000 0.0000
Hg1 Hg 0.5000 0.5000 0.0000
P1 P 0.0000 0.5000 0.5000
Os1 Os 0.0000 0.0000 0.5000

15.
# Li2NbCu | the Alexandria database | meta-GGA SCAN | PBEsol geometry
# * energy of formation: 0.68 eV/atom
# * DOS(E_F): 10.93 states/eV per cell
data_Li2NbCu
_space_group_name_H-M_alt 'I -4 2 d'
_space_group_IT_number 122
_space_group_name_Hall 'I -4 2bw'
_cell_length_a 6.8173
_cell_length_b 6.8173
_cell_length_c 5.0270
_cell_angle_alpha 90.00
_cell_angle_beta 90.00
_cell_angle_gamma 90.00
loop_
_atom_site_label
_atom_site_type_symbol
_atom_site_fract_x
_atom_site_fract_y
_atom_site_fract_z
Li1 Li 0.2120 0.7500 0.1250
Nb1 Nb 0.0000 0.0000 0.5000
Cu1 Cu 0.0000 0.0000 0.0000

16.
# HPbBr3 | the Alexandria database | meta-GGA SCAN | PBEsol geometry
# * energy: -27.540 eV/atom
# * DOS(E_F): 1.77 states/eV per cell
data_HPbBr3
_space_group_name_H-M_alt 'P m -3 m'
_space_group_IT_number 221
_space_group_name_Hall '-P 4 2 3'
_cell_length_a 4.7467
_cell_length_b 4.7467
_cell_length_c 4.7467
_cell_angle_alpha 90.00
_cell_angle_beta 90.00
_cell_angle_gamma 90.00
loop_
_atom_site_label
_atom_site_type_symbol
_atom_site_fract_x
_atom_site_fract_y
_atom_site_fract_z
H1 H 0.0000 0.0000 0.0000
Pb1 Pb 0.5000 0.5000 0.5000
Br1 Br 0.0000 0.0000 0.5000

17.
# Cd2HgPb | the Alexandria database | meta-GGA SCAN | PBEsol geometry
# * energy of formation: 0.07 eV/atom
# * DOS(E_F): 3.05 states/eV per cell
data_Cd2HgPb
_space_group_name_H-M_alt 'I m m m'
_space_group_IT_number 71
_space_group_name_Hall '-I 2 2'
_cell_length_a 3.3748
_cell_length_b 5.4491
_cell_length_c 10.4759
_cell_angle_alpha 90.00
_cell_angle_beta 90.00
_cell_angle_gamma 90.00
loop_
_atom_site_label
_atom_site_type_symbol
_atom_site_fract_x
_atom_site_fract_y
_atom_site_fract_z
Cd1 Cd 0.0000 0.0000 0.2370
Hg1 Hg 0.0000 0.5000 0.5000
Pb1 Pb 0.0000 0.5000 0.0000

18.
# La2SiH2 | the Alexandria database | meta-GGA SCAN | PBEsol geometry
# * energy: -20.779 eV/atom
# * DOS(E_F): 4.67 states/eV per cell
data_La2SiH2
_space_group_name_H-M_alt 'P 4/m b m'
_space_group_IT_number 127
_space_group_name_Hall '-P 4 2ab'
_cell_length_a 7.7400
_cell_length_b 7.7400
_cell_length_c 3.1465
_cell_angle_alpha 90.00
_cell_angle_beta 90.00
_cell_angle_gamma 90.00
loop_
_atom_site_label
_atom_site_type_symbol
_atom_site_fract_x
_atom_site_fract_y
_atom_site_fract_z
La1 La 0.1580 0.3420 0.0000
Si1 Si 0.0000 0.0000 0.0000
H1 H 0.1057 0.6057 0.5000

19.
# TaCdRu2 | the Alexandria database | meta-GGA SCAN | PBEsol geometry
# * energy of formation: -0.23 eV/atom
# * DOS(E_F): 2.63 states/eV per cell
data_TaCdRu2
_space_group_name_H-M_alt 'P 4/m m m'
_space_group_IT_number 123
_space_group_name_Hall '-P 4 2'
_cell_length_a 3.1290
_cell_length_b 3.1290
_cell_length_c 6.4478
_cell_angle_alpha 90.00
_cell_angle_beta 90.00
_cell_angle_gamma 90.00
loop_
_atom_site_label
_atom_site_type_symbol
_atom_site_fract_x
_atom_site_fract_y
_atom_site_fract_z
Ta1 Ta 0.0000 0.0000 0.0000
Cd1 Cd 0.0000 0.0000 0.5000
Ru1 Ru 0.5000 0.5000 0.2293

20.
# MgVAgO4 | the Alexandria database | meta-GGA SCAN | PBEsol geometry
# * energy: -13.493 eV/atom
# * DOS(E_F): 0.00 states/eV per cell
data_MgVAgO4
_space_group_name_H-M_alt 'P n m a'
_space_group_IT_number 62
_space_group_name_Hall '-P 2ac 2n'
_cell_length_a 9.4123
_cell_length_b 6.6413
_cell_length_c 5.2934
_cell_angle_alpha 90.00
_cell_angle_beta 90.00
_cell_angle_gamma 90.00
loop_
_atom_site_label
_atom_site_type_symbol
_atom_site_fract_x
_atom_site_fract_y
_atom_site_fract_z
Mg1 Mg 0.0000 0.0000 0.0000
V1 V 0.1781 0.2500 0.4812
Ag1 Ag 0.1531 0.7500 0.5054
O1 O 0.1136 0.0485 0.3216
O2 O 0.1168 0.2500 0.7936
O3 O 0.1348 0.7500 0.9387